1.
The following is a DFT calculation (PBE-GGA) of HoZn2Pd8 after structural relaxation.

The structure belongs to space group C2/m (No. 12); the cell edges are 14.0556, 4.1118 and 6.3568 Å and the angles 90.00°, 107.75° and 90.00°. Symmetry generates all atoms from Ho at (0.0000, 0.0000, 0.0000), Zn at (0.2240, 0.5000, 0.6513), Pd at (0.0448, 0.5000, 0.7234), Pd at (0.1009, 0.0000, 0.4726), Pd at (0.1477, 0.5000, 0.2112) and Pd at (0.1833, 0.0000, 0.9247).

For the formation energy, the calculation gives -0.523 eV/atom.

2.
The following is a DFT calculation (PBE-GGA) of Pm2PaGe4Ir3 after structural relaxation.

The structure belongs to space group P-4m2 (No. 115); the cell edges are 4.2266, 4.2266 and 11.5189 Å and the angles 90.00°, 90.00° and 90.00°. Symmetry generates all atoms from Pm at (0.0000, 0.5000, 0.2267), Pa at (0.0000, 0.0000, 0.5000), Ge at (0.0000, 0.0000, 0.0000), Ge at (0.0000, 0.5000, 0.6743), Ge at (0.5000, 0.5000, 0.0000), Ir at (0.0000, 0.5000, 0.8859) and Ir at (0.5000, 0.5000, 0.5000).

For the formation energy, the calculation gives -0.666 eV/atom.

3.
The following is a DFT calculation (PBE-GGA) of NiPSe2 after structural relaxation.

The structure belongs to space group Pm (No. 6); the cell edges are 3.3408, 3.6046 and 6.9627 Å and the angles 90.00°, 103.42° and 90.00°. Symmetry generates all atoms from Ni at (0.0000, 0.0000, 0.0000), P at (0.0894, 0.5000, 0.1884), Se at (0.3905, 0.0000, 0.7740) and Se at (0.7037, 0.5000, 0.4259).

The formation energy (no corrections) is -0.0598 eV/atom.

4.
The following is a DFT calculation (PBE-GGA) of TlTe2Ir after structural relaxation.

The structure belongs to space group C2/m (No. 12); the cell edges are 7.1075, 4.1059 and 8.0121 Å and the angles 90.00°, 107.38° and 90.00°. Symmetry generates all atoms from Tl at (0.0000, 0.0000, 0.0000), Te at (0.2239, 0.0000, 0.6705) and Ir at (0.0000, 0.5000, 0.5000).

The formation energy (no corrections) is -0.1974 eV/atom. For the distance to the lowest polymorph of the same formula, the calculation gives 0.028 eV per atom.

5.
The following is a DFT calculation (PBE-GGA) of BaCu3 after structural relaxation.

The structure belongs to space group P6_3/mmc (No. 194); the cell edges are 7.1489, 7.1489 and 7.8629 Å and the angles 90.00°, 90.00° and 120.00°. Symmetry generates all atoms from Ba at (0.0000, 0.0000, 0.0000), Ba at (0.3333, 0.6667, 0.2500), Cu at (0.0000, 0.5000, 0.0000) and Cu at (0.2204, 0.4408, 0.7500).

For the formation energy, the calculation gives 0.223 eV/atom.

6.
The following is a DFT calculation (PBE-GGA) of Ca2La2Pr15 after structural relaxation.

The structure belongs to space group R-3m (No. 166, hexagonal axes); the cell edges are 11.8511, 11.8511 and 17.9811 Å and the angles 90.00°, 90.00° and 120.00°. Symmetry generates all atoms from Ca at (0.0000, 0.0000, 0.1680), La at (0.0000, 0.0000, 0.4113), Pr at (0.0000, 0.2999, 0.5000), Pr at (0.0000, 0.5000, 0.0000) and Pr at (0.0080, 0.5040, 0.6411).

For the formation energy, the calculation gives 0.218 eV/atom.

7.
The following is a DFT calculation (PBE-GGA) of TlReAg4 after structural relaxation.

The structure belongs to space group F-43m (No. 216); the cell edges are 7.7810, 7.7810 and 7.7810 Å and the angles 90.00°, 90.00° and 90.00°. Symmetry generates all atoms from Tl at (0.0000, 0.0000, 0.0000), Re at (0.2500, 0.2500, 0.2500) and Ag at (0.1245, 0.1245, 0.6245).

For the formation energy, the calculation gives 0.824 eV/atom.

8.
The following is a DFT calculation (PBE-GGA) of ReHgRu after structural relaxation.

The structure belongs to space group Imm2 (No. 44); the cell edges are 2.8583, 3.7961 and 9.1419 Å and the angles 90.00°, 90.00° and 90.00°. Symmetry generates all atoms from Re at (0.0000, 0.0000, 0.0000), Hg at (0.0000, 0.0000, 0.3108) and Ru at (0.0000, 0.0000, 0.6237).

For the formation energy, the calculation gives 0.532 eV/atom. For the distance to the lowest polymorph of the same formula, the calculation gives 0.185 eV per atom.

9.
The following is a DFT calculation (PBE-GGA) of Pr2SiPRh6 after structural relaxation.

The structure belongs to space group Pmmn (No. 59, origin choice 2); the cell edges are 5.7806, 8.6764 and 7.3534 Å and the angles 90.00°, 90.00° and 90.00°. Symmetry generates all atoms from Pr at (0.2500, 0.0216, 0.2205), Si at (0.2500, 0.7500, 0.7764), P at (0.2500, 0.2500, 0.7337), Rh at (0.0104, 0.7500, 0.0392), Rh at (0.0149, 0.7500, 0.4937) and Rh at (0.2500, 0.5019, 0.6297).

The formation energy (no corrections) is -0.7065 eV/atom.

10.
The following is a DFT calculation (PBE-GGA) of Pr12Tl2Hg5 after structural relaxation.

The structure belongs to space group C2/m (No. 12); the cell edges are 18.3113, 8.3106 and 8.6843 Å and the angles 90.00°, 107.83° and 90.00°. Symmetry generates all atoms from Pr at (0.0220, 0.0000, 0.3105), Pr at (0.1175, 0.2096, 0.0299), Pr at (0.1205, 0.5000, 0.3333), Pr at (0.1865, 0.2299, 0.6764), Tl at (0.0000, 0.3206, 0.5000), Hg at (0.0000, 0.5000, 0.0000), Hg at (0.2009, 0.0000, 0.3708) and Hg at (0.2295, 0.5000, 0.0027).

For the formation energy, the calculation gives -0.196 eV/atom.

11.
The following is a DFT calculation (PBE-GGA) of Mn2CoCl after structural relaxation.

The structure belongs to space group R-3m (No. 166, hexagonal axes); the cell edges are 3.0472, 3.0472 and 22.4851 Å and the angles 90.00°, 90.00° and 120.00°. Symmetry generates all atoms from Mn at (0.0000, 0.0000, 0.2457), Co at (0.0000, 0.0000, 0.5000) and Cl at (0.0000, 0.0000, 0.0000).

The formation energy (no corrections) is 0.1243 eV/atom. For the distance to the lowest polymorph of the same formula, the calculation gives 0.106 eV per atom.

12.
The following is a DFT calculation (PBE-GGA) of Er2BeFe5B2 after structural relaxation.

The structure belongs to space group P4/mbm (No. 127); the cell edges are 8.7808, 8.7808 and 3.1278 Å and the angles 90.00°, 90.00° and 90.00°. Symmetry generates all atoms from Er at (0.1755, 0.3245, 0.0000), Be at (0.0000, 0.0000, 0.0000), Fe at (0.0000, 0.5000, 0.5000), Fe at (0.0657, 0.7867, 0.5000) and B at (0.1214, 0.6214, 0.0000).

For the formation energy, the calculation gives -0.119 eV/atom.

13.
The following is a DFT calculation (PBE-GGA) of TbNdYEr3 after structural relaxation.

The structure belongs to space group Cmcm (No. 63); the cell edges are 5.7466, 11.7264 and 11.4255 Å and the angles 90.00°, 90.00° and 90.00°. Symmetry generates all atoms from Tb at (0.0000, 0.0000, 0.0000), Nd at (0.0000, 0.4770, 0.2500), Y at (0.0000, 0.1728, 0.2500), Er at (0.0000, 0.1492, 0.7500) and Er at (0.0000, 0.3258, 0.5220).

For the formation energy, the calculation gives 0.121 eV/atom.

14.
The following is a DFT calculation (PBE-GGA) of BC3 after structural relaxation.

The structure belongs to space group P1 (No. 1); the cell edges are 3.6015, 4.3649 and 5.2323 Å and the angles 102.56°, 92.11° and 111.72°. Symmetry generates all atoms from B at (0.0000, 0.0000, 0.0000), B at (0.0455, 0.6087, 0.8519), B at (0.7166, 0.9165, 0.6964), C at (0.0635, 0.6194, 0.3737), C at (0.2980, 0.5927, 0.6081), C at (0.3192, 0.6484, 0.1357), C at (0.3890, 0.2735, 0.5427), C at (0.4115, 0.3166, 0.0545), C at (0.6350, 0.2777, 0.8013), C at (0.6503, 0.2974, 0.2992), C at (0.7226, 0.9684, 0.2267) and C at (0.9844, 0.9457, 0.4540).

For the formation energy, the calculation gives 0.324 eV/atom. For the distance to the lowest polymorph of the same formula, the calculation gives 0.083 eV per atom.

15.
The following is a DFT calculation (PBE-GGA) of Sn2AuS after structural relaxation.

The structure belongs to space group I-42d (No. 122); the cell edges are 6.3698, 6.3698 and 12.0411 Å and the angles 90.00°, 90.00° and 90.00°. Symmetry generates all atoms from Sn at (0.2480, 0.2500, 0.1250), Au at (0.0000, 0.0000, 0.0000) and S at (0.0000, 0.0000, 0.5000).

The formation energy (no corrections) is -0.1186 eV/atom.

16.
The following is a DFT calculation (PBE-GGA) of PrSm2Cd after structural relaxation.

The structure belongs to space group P4/mmm (No. 123); the cell edges are 4.9637, 4.9637 and 4.9652 Å and the angles 90.00°, 90.00° and 90.00°. Symmetry generates all atoms from Pr at (0.0000, 0.0000, 0.0000), Sm at (0.0000, 0.5000, 0.5000) and Cd at (0.5000, 0.5000, 0.0000).

For the formation energy, the calculation gives -0.103 eV/atom. For the distance to the lowest polymorph of the same formula, the calculation gives 0.047 eV per atom.

17.
The following is a DFT calculation (PBE-GGA) of TiNbSe2 after structural relaxation.

The structure belongs to space group I-42d (No. 122); the cell edges are 5.4944, 5.4944 and 13.0041 Å and the angles 90.00°, 90.00° and 90.00°. Symmetry generates all atoms from Ti at (0.0000, 0.0000, 0.0000), Nb at (0.0000, 0.0000, 0.5000) and Se at (0.2411, 0.2500, 0.1250).

The formation energy (no corrections) is -0.2668 eV/atom. For the distance to the lowest polymorph of the same formula, the calculation gives 0.348 eV per atom.

18.
The following is a DFT calculation (PBE-GGA) of GaNi4Sn after structural relaxation.

The structure belongs to space group Imma (No. 74); the cell edges are 4.2958, 15.7968 and 4.6596 Å and the angles 90.00°, 90.00° and 90.00°. Symmetry generates all atoms from Ga at (0.0000, 0.0000, 0.0000), Ni at (0.0000, 0.0816, 0.4314), Ni at (0.0000, 0.1566, 0.9317) and Sn at (0.0000, 0.2500, 0.4705).

For the formation energy, the calculation gives -0.155 eV/atom. For the distance to the lowest polymorph of the same formula, the calculation gives 0.018 eV per atom.

19.
The following is a DFT calculation (PBE-GGA) of RbMnPbBr5 after structural relaxation.

The structure belongs to space group C2/c (No. 15); the cell edges are 9.8315, 13.1504 and 10.7997 Å and the angles 90.00°, 113.91° and 90.00°. Symmetry generates all atoms from Rb at (0.0000, 0.1501, 0.2500), Mn at (0.0000, 0.1851, 0.7500), Pb at (0.0000, 0.5000, 0.0000), Br at (0.0000, 0.4071, 0.2500), Br at (0.1192, 0.2894, 0.6268) and Br at (0.1747, 0.0699, 0.9314).

The formation energy (no corrections) is -1.0852 eV/atom.

20.
The following is a DFT calculation (PBE-GGA) of Ca2PIr2 after structural relaxation.

The structure belongs to space group P4/mbm (No. 127); the cell edges are 6.3745, 6.3745 and 4.7188 Å and the angles 90.00°, 90.00° and 90.00°. Symmetry generates all atoms from Ca at (0.1703, 0.3297, 0.0000), P at (0.0000, 0.0000, 0.5000) and Ir at (0.1506, 0.6506, 0.5000).

For the formation energy, the calculation gives -0.432 eV/atom. For the distance to the lowest polymorph of the same formula, the calculation gives 0.323 eV per atom.

21.
The following is a DFT calculation (PBE-GGA) of LaPrTmZn after structural relaxation.

The structure belongs to space group F-43m (No. 216); the cell edges are 7.7579, 7.7579 and 7.7579 Å and the angles 90.00°, 90.00° and 90.00°. Symmetry generates all atoms from La at (0.0000, 0.0000, 0.0000), Pr at (0.0000, 0.0000, 0.5000), Tm at (0.2500, 0.2500, 0.7500) and Zn at (0.2500, 0.2500, 0.2500).

For the formation energy, the calculation gives 0.000 eV/atom. For the distance to the lowest polymorph of the same formula, the calculation gives 0.146 eV per atom.

22.
The following is a DFT calculation (PBE-GGA) of SrCaF4 after structural relaxation.

The structure belongs to space group I4_1/amd (No. 141, origin choice 2); the cell edges are 5.6980, 5.6980 and 11.3351 Å and the angles 90.00°, 90.00° and 90.00°. Symmetry generates all atoms from Sr at (0.0000, 0.2500, 0.3750), Ca at (0.0000, 0.2500, 0.8750) and F at (0.2368, 0.0000, 0.0000).

The formation energy (no corrections) is -3.9356 eV/atom.